Entry 1:
First-principles (PBE) data for a relaxed LaPrZnPt crystal, as listed in Alexandria via LeMat-Bulk.

Lattice parameters (Å, degrees): 5.2188 5.2188 5.2188 60.00 60.00 60.00
Fractional coordinates of all 4 atoms:
La (0.0000, 0.0000, 0.0000)
Pr (0.5000, 0.5000, 0.5000)
Zn (0.2500, 0.2500, 0.2500)
Pt (0.7500, 0.7500, 0.7500)

Properties
**Distance to the lowest polymorph of the same formula**: 0.072 eV/atom
**Theoretical density**: 8927 kg/m³

---

Entry 2:
First-principles (PBE) data for a relaxed LaPrZnPt crystal, as listed in Alexandria via LeMat-Bulk.

Lattice parameters (Å, degrees): 4.5070 6.0708 6.0708 38.68 90.00 90.00
Fractional coordinates of all 4 atoms:
La (0.0000, 0.0000, 0.0000)
Pr (0.5000, 0.2766, 0.2766)
Zn (0.0000, 0.7127, 0.7127)
Pt (0.5000, 0.5640, 0.5640)

Properties
**Distance to the lowest polymorph of the same formula**: 0.000 eV/atom
**Theoretical density**: 8643 kg/m³

---

Entry 3:
First-principles (PBE) data for a relaxed La6Pr3Pu crystal, as listed in Alexandria via LeMat-Bulk.

Lattice parameters (Å, degrees): 6.8501 6.8501 9.3371 100.69 100.69 119.12
Fractional coordinates of all 10 atoms:
La (0.1133, 0.1133, 0.2204)
La (0.1925, 0.5192, 0.6397)
La (0.4808, 0.8075, 0.3603)
La (0.5192, 0.1925, 0.6397)
La (0.8075, 0.4808, 0.3603)
La (0.8867, 0.8867, 0.7796)
Pr (0.0000, 0.5000, 0.0000)
Pr (0.5000, 0.0000, 0.0000)
Pr (0.5000, 0.5000, 0.0000)
Pu (0.0000, 0.0000, 0.5000)

Properties
**Theoretical density**: 6994 kg/m³

---

Listing magnetic moment for the structures above in their given order: 0.000 0.000 0.663 μB/atom.
Listing formation enthalpy at 0 K for the structures above in their given order: -654 -726 181 meV per atom.